Density functional theory data (PBE-GGA) for a relaxed Ce5YPb4 crystal.

For the formation energy, the calculation gives -0.32 eV per atom. As for the raw total energy: -108.38 eV/cell.

```
data_Ce5YPb4
_cell_length_a 16.413
_cell_length_b 4.795
_cell_length_c 8.212
_cell_angle_alpha 90.00
_cell_angle_beta 108.76
_cell_angle_gamma 90.00
_space_group_name_H-M_alt 'C 1 2/m 1'
_space_group_IT_number 12
_space_group_name_Hall '-C 2y'
loop_
_atom_site_label
_atom_site_type_symbol
_atom_site_fract_x
_atom_site_fract_y
_atom_site_fract_z
_atom_site_occupancy
Ce1 Ce 0.000 0.000 0.000 1
Ce2 Ce 0.127 0.500 0.954 1
Ce3 Ce 0.226 0.000 0.381 1
Y1 Y 0.000 0.000 0.500 1
Pb1 Pb 0.072 0.500 0.311 1
Pb2 Pb 0.184 0.000 0.767 1
```